## MnAgN2O (PBE+U)

Data for MnAgN2O after structural relaxation.

Output
- mass density (g cm⁻³) = 5.10
- space-group type = P4/mmm
- electronic total energy (eV per atom) = -4.270

a = 4.0161 Å, b = 4.0161 Å, c = 4.1774 Å
α = 90.00°, β = 90.00°, γ = 90.00°
With the nearest neighbours (Å) after each atom.
Positions (direct):
1 Mn 0.0000 0.0000 0.0000  4 O 2.84, 8 N 2.90
2 Ag 0.5000 0.5000 0.5000  4 N 2.01, 2 O 2.09
3 N 0.0000 0.5000 0.5000  2 Ag 2.01
4 N 0.5000 0.0000 0.5000  2 Ag 2.01
5 O 0.5000 0.5000 0.0000  2 Ag 2.09